Entry 1:
# ZnSe | the Alexandria database | PBE | relaxed
data_ZnSe
_chemical_formula_sum 'Zn2 Se2'
_symmetry_space_group_name_H-M 'P 1'
_symmetry_Int_Tables_number 1
_cell_length_a 2.882
_cell_length_b 2.882
_cell_length_c 9.831
_cell_angle_alpha 90.00
_cell_angle_beta 90.00
_cell_angle_gamma 90.00
loop_
_symmetry_equiv_pos_as_xyz
'x,y,z'
loop_
_atom_site_label
_atom_site_type_symbol
_atom_site_fract_x
_atom_site_fract_y
_atom_site_fract_z
_atom_site_occupancy
Se1 Se 0.250 0.250 0.188 1
Se2 Se 0.750 0.750 0.812 1
Zn1 Zn 0.250 0.250 0.594 1
Zn2 Zn 0.750 0.750 0.406 1
# M_tot ... 0.00 μB per cell
# Formation energy without anion corrections ... 0.14 eV/atom
# Raw total energy ... -4.47 eV per formula unit
# SG ... P4/nmm, No. 129

Entry 2:
# Sr2ErSe3 | the Alexandria database | PBE | relaxed
data_Sr2ErSe3
_chemical_formula_sum 'Sr8 Er4 Se12'
_symmetry_space_group_name_H-M 'P 1'
_symmetry_Int_Tables_number 1
_cell_length_a 7.438
_cell_length_b 7.438
_cell_length_c 13.522
_cell_angle_alpha 100.60
_cell_angle_beta 100.60
_cell_angle_gamma 109.33
loop_
_symmetry_equiv_pos_as_xyz
'x,y,z'
loop_
_atom_site_label
_atom_site_type_symbol
_atom_site_fract_x
_atom_site_fract_y
_atom_site_fract_z
_atom_site_occupancy
Sr1 Sr 0.998 0.498 0.996 1
Sr2 Sr 0.419 0.419 0.837 1
Sr3 Sr 0.831 0.331 0.663 1
Sr4 Sr 0.252 0.252 0.504 1
Sr5 Sr 0.748 0.748 0.496 1
Sr6 Sr 0.669 0.169 0.337 1
Sr7 Sr 0.581 0.581 0.163 1
Sr8 Sr 0.502 0.002 0.004 1
Er1 Er 0.917 0.917 0.833 1
Er2 Er 0.333 0.833 0.667 1
Er3 Er 0.167 0.667 0.333 1
Er4 Er 0.083 0.083 0.167 1
Se1 Se 0.164 0.682 0.826 1
Se2 Se 0.663 0.144 0.826 1
Se3 Se 0.086 0.068 0.674 1
Se4 Se 0.587 0.606 0.674 1
Se5 Se 0.020 0.520 0.500 1
Se6 Se 0.480 0.980 0.500 1
Se7 Se 0.394 0.413 0.326 1
Se8 Se 0.932 0.914 0.326 1
Se9 Se 0.856 0.337 0.174 1
Se10 Se 0.318 0.836 0.174 1
Se11 Se 0.230 0.230 0.000 1
Se12 Se 0.770 0.770 0.000 1
# M_tot ... 0.00 μB per cell
# Formation energy without anion corrections ... -1.91 eV/atom
# Raw total energy ... -29.86 eV per formula unit
# SG ... Fddd, No. 70

Entry 3:
# Ca2ThGa3Pt4 | the Alexandria database | PBE | relaxed
data_Ca2ThGa3Pt4
_chemical_formula_sum 'Ca2 Th1 Ga3 Pt4'
_symmetry_space_group_name_H-M 'P 1'
_symmetry_Int_Tables_number 1
_cell_length_a 4.435
_cell_length_b 4.435
_cell_length_c 11.033
_cell_angle_alpha 90.00
_cell_angle_beta 90.00
_cell_angle_gamma 90.00
loop_
_symmetry_equiv_pos_as_xyz
'x,y,z'
loop_
_atom_site_label
_atom_site_type_symbol
_atom_site_fract_x
_atom_site_fract_y
_atom_site_fract_z
_atom_site_occupancy
Ca1 Ca 0.500 0.000 0.214 1
Ca2 Ca 0.000 0.500 0.786 1
Th1 Th 0.500 0.500 0.500 1
Ga1 Ga 0.000 0.000 0.500 1
Ga2 Ga 0.500 0.000 0.884 1
Ga3 Ga 0.000 0.500 0.116 1
Pt1 Pt 0.500 0.500 0.000 1
Pt2 Pt 0.000 0.000 0.000 1
Pt3 Pt 0.500 0.000 0.658 1
Pt4 Pt 0.000 0.500 0.342 1
# M_tot ... 0.00 μB per cell
# Raw total energy ... -53.25 eV per formula unit
# Calculated formation energy ... -859 meV/atom
# SG ... P-4m2, No. 115

Entry 4:
# Ca2MgCdH | the Alexandria database | PBE | relaxed
data_Ca2MgCdH
_chemical_formula_sum 'Ca2 Mg1 Cd1 H1'
_symmetry_space_group_name_H-M 'P 1'
_symmetry_Int_Tables_number 1
_cell_length_a 5.074
_cell_length_b 5.074
_cell_length_c 4.360
_cell_angle_alpha 90.00
_cell_angle_beta 90.00
_cell_angle_gamma 90.00
loop_
_symmetry_equiv_pos_as_xyz
'x,y,z'
loop_
_atom_site_label
_atom_site_type_symbol
_atom_site_fract_x
_atom_site_fract_y
_atom_site_fract_z
_atom_site_occupancy
H1 H 0.000 0.000 0.000 1
Ca1 Ca 0.000 0.500 0.000 1
Ca2 Ca 0.500 0.000 0.000 1
Mg1 Mg 0.000 0.000 0.500 1
Cd1 Cd 0.500 0.500 0.500 1
# M_tot ... 0.00 μB per cell
# Raw total energy ... -11.21 eV per formula unit
# Energy relative to the lowest polymorph listed for this composition ... 0.000 eV/atom
# SG ... P4/mmm, No. 123

Entry 5:
# LiPu2In3 | the Alexandria database | PBE | relaxed
data_LiPu2In3
_chemical_formula_sum 'Li2 Pu4 In6'
_symmetry_space_group_name_H-M 'P 1'
_symmetry_Int_Tables_number 1
_cell_length_a 6.111
_cell_length_b 6.111
_cell_length_c 8.958
_cell_angle_alpha 90.00
_cell_angle_beta 90.00
_cell_angle_gamma 120.00
loop_
_symmetry_equiv_pos_as_xyz
'x,y,z'
loop_
_atom_site_label
_atom_site_type_symbol
_atom_site_fract_x
_atom_site_fract_y
_atom_site_fract_z
_atom_site_occupancy
Li1 Li 0.000 0.000 0.500 1
Li2 Li 0.000 0.000 0.000 1
Pu1 Pu 0.667 0.333 0.421 1
Pu2 Pu 0.333 0.667 0.579 1
Pu3 Pu 0.333 0.667 0.921 1
Pu4 Pu 0.667 0.333 0.079 1
In1 In 0.169 0.337 0.250 1
In2 In 0.337 0.169 0.750 1
In3 In 0.831 0.663 0.750 1
In4 In 0.169 0.831 0.250 1
In5 In 0.831 0.169 0.750 1
In6 In 0.663 0.831 0.250 1
# M_tot ... 23.10 μB per cell
# Raw total energy ... -39.78 eV per formula unit
# Calculated formation energy ... -165 meV/atom
# SG ... P6_3/mmc, No. 194

Entry 6:
# ScTl2Pb | the Alexandria database | PBE | relaxed
data_ScTl2Pb
_chemical_formula_sum 'Sc1 Tl2 Pb1'
_symmetry_space_group_name_H-M 'P 1'
_symmetry_Int_Tables_number 1
_cell_length_a 5.736
_cell_length_b 5.736
_cell_length_c 3.512
_cell_angle_alpha 90.00
_cell_angle_beta 90.00
_cell_angle_gamma 111.76
loop_
_symmetry_equiv_pos_as_xyz
'x,y,z'
loop_
_atom_site_label
_atom_site_type_symbol
_atom_site_fract_x
_atom_site_fract_y
_atom_site_fract_z
_atom_site_occupancy
Pb1 Pb 0.500 0.000 0.500 1
Sc1 Sc 0.000 0.500 0.500 1
Tl1 Tl 0.000 0.000 0.000 1
Tl2 Tl 0.500 0.500 0.000 1
# M_tot ... 0.00 μB per cell
# Raw total energy ... -14.97 eV per formula unit
# Calculated formation energy ... -49 meV/atom
# SG ... Cmmm, No. 65